Entry from the Alexandria database: a relaxed structure of ZnTc5 (GGA-PBE).

Values from the calculation:
Space group: No. 8
ΔE_f: 51 meV per atom
ρ: 10.62 g cm⁻³
Magnetization: 0.0 Bohr magnetons per cell

Structure (POSCAR):
```
ZnTc5
1.0
2.860 0.000 0.000
-1.430 4.936 0.000
0.000 1.750 6.152
Tc Zn
5 1
Cartesian
1.430 2.774 4.020
0.000 5.070 4.518
0.000 1.178 2.479
0.000 1.804 6.070
0.000 3.953 1.984
1.430 2.281 0.409
```